Entry 1:
## AgPd5Pt5 (PBE-GGA)

Data for a relaxed AgPd5Pt5 crystal.

The structure in POSCAR format:
```
AgPd5Pt5
1.0
4.670 0.000 0.000
0.411 5.724 0.000
2.040 0.805 6.839
Ag Pd Pt
1 5 5
direct
0.000 0.000 0.000 Ag
0.000 0.500 0.000 Pd
0.013 0.820 0.661 Pd
0.491 0.258 0.015 Pd
0.509 0.742 0.985 Pd
0.987 0.180 0.339 Pd
0.051 0.661 0.323 Pt
0.489 0.070 0.674 Pt
0.500 0.500 0.500 Pt
0.511 0.930 0.326 Pt
0.949 0.339 0.677 Pt
```

Computed properties:
Magnetization (μB/f.u.): 0.000
Symmetry: P-1
Density of states at the Fermi level (states/eV per atom): 1.647
DFT total energy (eV/atom): -5.21
ΔE to the lowest computed polymorph (eV per atom): 0.000



Entry 2:
## LiNb3Pb (PBE-GGA)

Data for a relaxed LiNb3Pb crystal.

The structure in POSCAR format:
```
LiNb3Pb
1.0
5.217 0.000 0.000
0.000 5.217 0.000
0.000 0.000 5.217
Li Nb Pb
1 3 1
direct
0.000 0.000 0.000 Li
0.000 0.500 0.500 Nb
0.500 0.000 0.500 Nb
0.500 0.500 0.000 Nb
0.500 0.500 0.500 Pb
```

Computed properties:
Magnetization (μB/f.u.): 0.000
Symmetry: Pm-3m
Density of states at the Fermi level (states/eV per atom): 0.391
DFT total energy (eV/atom): -5.21
ΔE to the lowest computed polymorph (eV per atom): 1.101



Entry 3:
## YPaNiOs (PBE-GGA)

Data for a relaxed YPaNiOs crystal.

The structure in POSCAR format:
```
YPaNiOs
1.0
0.000 3.415 3.415
3.415 0.000 3.415
3.415 3.415 0.000
Y Pa Ni Os
1 1 1 1
direct
0.000 0.000 0.000 Y
0.500 0.500 0.500 Pa
0.250 0.250 0.250 Ni
0.750 0.750 0.750 Os
```

Computed properties:
Magnetization (μB/f.u.): 0.000
Symmetry: F-43m
Density of states at the Fermi level (states/eV per atom): 1.495
DFT total energy (eV/atom): -8.47



Which formula does entry 1 have?
AgPd5Pt5